Record 1
Density functional theory data (GGA-PBE) for an optimized crystal structure of LiAcCe2Hg4.

Unit cell a=9.6208 b=9.6208 c=9.6208 alpha=32.10 beta=32.10 gamma=32.10
With the nearest neighbours (Å) after each atom.
Sites, in units of the cell vectors:
Li: 0.0000 0.0000 0.0000  8 Hg 3.08-3.25
Ac: 0.5000 0.5000 0.5000  8 Hg 3.41-3.49
Ce: 0.2572 0.2572 0.2572  7 Hg 3.15-3.24
Ce: 0.7428 0.7428 0.7428  7 Hg 3.15-3.24
Hg: 0.1125 0.1125 0.1125  1 Li 3.08, 3 Ce 3.23, 3 Ac 3.41
Hg: 0.3723 0.3723 0.3723  4 Ce 3.15-3.24, 3 Li 3.25, 1 Ac 3.49
Hg: 0.6277 0.6277 0.6277  4 Ce 3.15-3.24, 3 Li 3.25, 1 Ac 3.49
Hg: 0.8875 0.8875 0.8875  1 Li 3.08, 3 Ce 3.23, 3 Ac 3.41

Crystal system: trigonal
ρ in Mg/m³: 9.8
Formation energy in eV/atom: -0.325
Volume in Å³/cell: 224

---

Record 2
Density functional theory data (GGA-PBE) for an optimized crystal structure of RbSr2PbS4.

Unit cell a=8.6827 b=8.6827 c=8.6827 alpha=120.18 beta=119.42 gamma=90.35
With the nearest neighbours (Å) after each atom.
Sites, in units of the cell vectors:
Rb: 0.5000 0.0000 0.0000  6 S 3.18-3.22
Rb: 0.5000 0.5000 0.5000  6 S 3.18-3.22
Sr: 0.0000 0.0000 0.0000  6 S 3.08-3.13
Sr: 0.0000 0.0000 0.5000  6 S 2.94-2.95
Sr: 0.0000 0.5000 0.0000  6 S 2.94-2.95
Sr: 0.5000 0.0000 0.5000  6 S 3.08-3.13
Pb: 0.0000 0.5000 0.5000  6 S 3.00-3.08
Pb: 0.5000 0.5000 0.0000  6 S 3.00-3.08
S: 0.2228 0.7446 0.4782  3 Sr 2.95-3.13, 1 Pb 3.00, 2 Rb 3.22
S: 0.2335 0.2554 0.9782  3 Sr 2.95-3.13, 1 Pb 3.00, 2 Rb 3.22
S: 0.2401 0.2406 0.5005  3 Sr 2.94-3.08, 2 Pb 3.08, 1 Rb 3.18
S: 0.2401 0.7396 0.9995  3 Sr 2.94-3.08, 2 Pb 3.08, 1 Rb 3.18
S: 0.7599 0.2604 0.0005  3 Sr 2.94-3.08, 2 Pb 3.08, 1 Rb 3.18
S: 0.7599 0.7594 0.4995  3 Sr 2.94-3.08, 2 Pb 3.08, 1 Rb 3.18
S: 0.7665 0.7446 0.0218  3 Sr 2.95-3.13, 1 Pb 3.00, 2 Rb 3.22
S: 0.7772 0.2554 0.5218  3 Sr 2.95-3.13, 1 Pb 3.00, 2 Rb 3.22

ΔE_f (raw) in eV/atom: -1.280
Crystal system: orthorhombic
ρ in Mg/m³: 4.3
Volume in Å³/cell: 464

---

Record 3
Density functional theory data (GGA-PBE) for an optimized crystal structure of HgMo4Os.

Unit cell a=5.2146 b=5.2146 c=5.2146 alpha=60.00 beta=60.00 gamma=60.00
With the nearest neighbours (Å) after each atom.
Sites, in units of the cell vectors:
Hg: 0.0000 0.0000 0.0000  12 Mo 3.05, 4 Os 3.19
Mo: 0.3737 0.3737 0.3737  6 Mo 2.58-2.63
Mo: 0.3737 0.3737 0.8789  6 Mo 2.58-2.63
Mo: 0.3737 0.8789 0.3737  6 Mo 2.58-2.63
Mo: 0.8789 0.3737 0.3737  6 Mo 2.58-2.63
Os: 0.7500 0.7500 0.7500  12 Mo 3.06, 4 Hg 3.19

Crystal system: cubic
ρ in Mg/m³: 12.8
Formation energy in eV/atom: 0.545
Volume in Å³/cell: 100

---

Record 4
Density functional theory data (GGA-PBE) for an optimized crystal structure of TbNp2S6.

Unit cell a=7.1833 b=7.1833 c=4.1746 alpha=90.00 beta=90.00 gamma=120.00
With the nearest neighbours (Å) after each atom.
Sites, in units of the cell vectors:
Tb: 0.0000 0.0000 0.0000  6 S 2.75
Np: 0.3333 0.6667 0.2145  9 S 2.77-2.91
Np: 0.6667 0.3333 0.7855  9 S 2.77-2.91
S: 0.0807 0.6958 0.7381  1 Tb 2.75, 3 Np 2.77-2.91
S: 0.3042 0.3849 0.7381  1 Tb 2.75, 3 Np 2.77-2.91
S: 0.3849 0.0807 0.2619  1 Tb 2.75, 3 Np 2.77-2.91
S: 0.6151 0.9193 0.7381  1 Tb 2.75, 3 Np 2.77-2.91
S: 0.6958 0.6151 0.2619  1 Tb 2.75, 3 Np 2.77-2.91
S: 0.9193 0.3042 0.2619  1 Tb 2.75, 3 Np 2.77-2.91

ΔE_f (raw) in eV/atom: -1.314
Crystal system: trigonal
ρ in Mg/m³: 7.3
Volume in Å³/cell: 187
Offset from the most stable computed form in meV/atom: 0.0

---

Record 5
Density functional theory data (GGA-PBE) for an optimized crystal structure of NdIn7Pd5.

Unit cell a=7.3821 b=7.3821 c=7.3821 alpha=134.27 beta=97.13 gamma=100.24
With the nearest neighbours (Å) after each atom.
Sites, in units of the cell vectors:
Nd: 0.0000 0.0000 0.0000  8 In 3.17-3.44
In: 0.1748 0.4811 0.6936  5 Pd 2.76-2.89, 1 In 3.01
In: 0.2279 0.7279 0.5000  4 Pd 2.73, 2 In 3.01
In: 0.3499 0.0102 0.3396  5 Pd 2.82-3.00, 2 In 3.10-3.13
In: 0.3523 0.3523 0.0000  4 Pd 2.93, 5 In 2.96-3.23
In: 0.6651 0.6651 0.0000  1 In 2.96, 6 Pd 3.01-3.02, 1 Nd 3.17
In: 0.6706 0.0102 0.6604  5 Pd 2.82-3.00, 2 In 3.10-3.13
In: 0.7875 0.4811 0.3064  5 Pd 2.76-2.89, 1 In 3.01
Pd: 0.0045 0.4953 0.0142  7 In 2.73-3.02, 3 Pd 2.84-2.94
Pd: 0.0045 0.9903 0.5092  7 In 2.73-3.02, 3 Pd 2.84-2.94
Pd: 0.4811 0.4953 0.4908  7 In 2.73-3.02, 3 Pd 2.84-2.94
Pd: 0.4811 0.9903 0.9858  7 In 2.73-3.02, 3 Pd 2.84-2.94
Pd: 0.7626 0.2626 0.5000  6 In 2.80-3.01, 4 Pd 2.94

Crystal system: orthorhombic
ρ in Mg/m³: 9.3
Formation energy in eV/atom: -0.489
Volume in Å³/cell: 265

---

Record 6
Density functional theory data (GGA-PBE) for an optimized crystal structure of Ta2AlCu.

Unit cell a=2.8576 b=3.9970 c=5.6027 alpha=90.00 beta=90.53 gamma=90.00
With the nearest neighbours (Å) after each atom.
Sites, in units of the cell vectors:
Ta: 0.0041 0.0000 0.2476  4 Ta 2.77-2.86, 4 Cu 2.82, 4 Al 2.82-2.85
Ta: 0.9959 0.0000 0.7524  4 Ta 2.77-2.86, 4 Cu 2.82, 4 Al 2.82-2.85
Al: 0.5000 0.5000 0.5000  2 Cu 2.80, 8 Ta 2.82-2.85, 2 Al 2.86
Cu: 0.5000 0.5000 0.0000  2 Al 2.80, 8 Ta 2.82, 2 Cu 2.86

Crystal system: monoclinic
ρ in Mg/m³: 11.7
Formation energy in eV/atom: -0.068
Volume in Å³/cell: 64

---

Record 7
Density functional theory data (GGA-PBE) for an optimized crystal structure of Sm2Tm2AlGa4.

Unit cell a=6.6646 b=6.6646 c=6.6646 alpha=116.76 beta=116.76 gamma=95.71
With the nearest neighbours (Å) after each atom.
Sites, in units of the cell vectors:
Sm: 0.1901 0.1901 0.0000  1 Al 2.77, 4 Ga 3.01
Sm: 0.8099 0.8099 0.0000  1 Al 2.77, 4 Ga 3.01
Tm: 0.2500 0.7500 0.5000  8 Ga 3.33, 4 Sm 3.54
Tm: 0.7500 0.2500 0.5000  8 Ga 3.33, 4 Sm 3.54
Al: 0.5000 0.5000 0.0000  4 Ga 2.46
Ga: 0.2510 0.2510 0.5021  1 Al 2.46
Ga: 0.2510 0.7490 0.0000  1 Al 2.46
Ga: 0.7490 0.2510 0.0000  1 Al 2.46
Ga: 0.7490 0.7490 0.4979  1 Al 2.46

Crystal system: tetragonal
ρ in Mg/m³: 7.2
Formation energy in eV/atom: -0.208
Volume in Å³/cell: 218

---

Record 8
Density functional theory data (GGA-PBE) for an optimized crystal structure of BaTiCd.

Unit cell a=3.2946 b=6.3492 c=9.0189 alpha=69.55 beta=89.80 gamma=75.34
With the nearest neighbours (Å) after each atom.
Sites, in units of the cell vectors:
Ba: 0.0000 0.0000 0.0000  2 Ba 3.29, 1 Ti 3.32, 3 Cd 3.52-3.56
Ba: 0.1519 0.6507 0.7311  2 Ba 3.29, 2 Ti 3.37-3.52, 2 Cd 3.66-3.67
Ti: 0.1727 0.6107 0.3685  2 Ti 2.72-2.73, 2 Cd 2.95
Ti: 0.8443 0.2624 0.5486  2 Ti 2.72-2.73, 2 Cd 3.00-3.02
Cd: 0.4638 0.0317 0.3673  4 Ti 3.00-3.07, 4 Cd 3.08-3.29
Cd: 0.7518 0.4545 0.1540  2 Ti 2.95, 4 Cd 3.08-3.29

Crystal system: triclinic
ρ in Mg/m³: 5.8
Formation energy in eV/atom: 0.255
Volume in Å³/cell: 170
Offset from the most stable computed form in meV/atom: 62.3

---

Record 9
Density functional theory data (GGA-PBE) for an optimized crystal structure of Tb3Sm8Sc2.

Unit cell a=10.5708 b=10.5708 c=5.6659 alpha=90.01 beta=90.01 gamma=42.98
With the nearest neighbours (Å) after each atom.
Sites, in units of the cell vectors:
Tb: 0.0000 0.0000 0.0000  4 Sm 3.15
Tb: 0.2880 0.7120 0.5000  3 Tb 3.28-3.61, 6 Sm 3.45-3.58
Tb: 0.7120 0.2880 0.5000  3 Tb 3.28-3.61, 6 Sm 3.45-3.58
Sm: 0.1340 0.1340 0.4998  2 Tb 3.45, 2 Sc 3.52, 5 Sm 3.66-3.70
Sm: 0.1824 0.5954 0.0000  1 Tb 3.15, 3 Sm 3.20-3.51, 2 Sc 3.33-3.41
Sm: 0.3220 0.3220 0.4996  2 Sc 3.26, 4 Sm 3.51
Sm: 0.4046 0.8176 0.0000  1 Tb 3.15, 3 Sm 3.20-3.51, 2 Sc 3.33-3.41
Sm: 0.5954 0.1824 0.0000  1 Tb 3.15, 3 Sm 3.20-3.51, 2 Sc 3.33-3.41
Sm: 0.6780 0.6780 0.5004  2 Sc 3.26, 4 Sm 3.51
Sm: 0.8176 0.4046 0.0000  1 Tb 3.15, 3 Sm 3.20-3.51, 2 Sc 3.33-3.41
Sm: 0.8660 0.8660 0.5002  2 Tb 3.45, 2 Sc 3.52, 5 Sm 3.66-3.70
Sc: 0.2402 0.2402 0.9995  8 Sm 3.26-3.52
Sc: 0.7598 0.7598 0.0005  8 Sm 3.26-3.52

Crystal system: monoclinic
ρ in Mg/m³: 6.8
Formation energy in eV/atom: 0.223
Volume in Å³/cell: 432

---

Record 10
Density functional theory data (GGA-PBE) for an optimized crystal structure of SbAsSe2N.

Unit cell a=5.3838 b=5.3838 c=5.3752 alpha=90.00 beta=90.00 gamma=90.00
With the nearest neighbours (Å) after each atom.
Sites, in units of the cell vectors:
Sb: 0.0000 0.0000 0.0000  2 As 2.69, 4 Se 2.69
As: 0.0000 0.0000 0.5000  2 Sb 2.69
Se: 0.0000 0.5000 0.0000  2 Sb 2.69
Se: 0.5000 0.0000 0.0000  2 Sb 2.69
N: 0.5000 0.5000 0.5000  8 Se 3.80, 4 As 3.81

ΔE_f (raw) in eV/atom: 1.645
Crystal system: tetragonal
ρ in Mg/m³: 3.9
Volume in Å³/cell: 156
Offset from the most stable computed form in meV/atom: 970.7